A geometry-optimized AgH2F6 structure. Source: Alexandria, functional PBE.

Summary:
crystal system: monoclinic
offset from the most stable computed form: 31 meV/atom
space-group type: C2/c (15)
total energy: -60.81 eV/cell

a = 5.824 Å, b = 6.307 Å, c = 6.307 Å
α = 85.06°, β = 82.61°, γ = 82.61°
Each line ends with the local moment (μB).
Fractional positions:
1 Ag 0.250 0.104 0.896  0.24
2 Ag 0.750 0.896 0.104  0.24
3 H 0.376 0.557 0.680  0.00
4 H 0.124 0.320 0.443  0.00
5 H 0.624 0.443 0.320  0.00
6 H 0.876 0.680 0.557  0.00
7 F 0.389 0.683 0.580  0.13
8 F 0.111 0.420 0.317  0.13
9 F 0.611 0.317 0.420  0.13
10 F 0.889 0.580 0.683  0.13
11 F 0.865 0.862 0.382  0.03
12 F 0.635 0.618 0.138  0.03
13 F 0.135 0.138 0.618  0.03
14 F 0.365 0.382 0.862  0.03
15 F 0.128 0.821 0.944  0.18
16 F 0.372 0.056 0.179  0.18
17 F 0.872 0.179 0.056  0.18
18 F 0.628 0.944 0.821  0.18



A geometry-optimized Sm2GePt6 structure. Source: Alexandria, functional PBE.

Summary:
crystal system: monoclinic
energy relative to the elements: -0.944 eV/atom
space-group type: C2/m (12)
total energy: -58.80 eV/cell

a = 5.692 Å, b = 5.662 Å, c = 6.262 Å
α = 77.99°, β = 90.00°, γ = 120.18°
Fractional positions:
1 Sm 0.644 0.288 0.145
2 Sm 0.356 0.712 0.855
3 Ge 0.000 0.000 0.000
4 Pt 0.877 0.269 0.688
5 Pt 0.878 0.755 0.695
6 Pt 0.392 0.269 0.688
7 Pt 0.123 0.731 0.312
8 Pt 0.122 0.245 0.305
9 Pt 0.608 0.731 0.312



A geometry-optimized BeHg5 structure. Source: Alexandria, functional PBE.

Summary:
crystal system: cubic
energy relative to the elements: 0.528 eV/atom
offset from the most stable computed form: 337 meV/atom
space-group type: F-43m (216)
total energy: -2.07 eV/cell

a = 6.280 Å, b = 6.280 Å, c = 6.280 Å
α = 60.00°, β = 60.00°, γ = 60.00°
Fractional positions:
1 Be 0.000 0.000 0.000
2 Hg 0.250 0.250 0.250
3 Hg 0.625 0.625 0.625
4 Hg 0.625 0.625 0.124
5 Hg 0.124 0.625 0.625
6 Hg 0.625 0.124 0.625



A geometry-optimized SrRe2Te structure. Source: Alexandria, functional PBE.

Summary:
raw formation energy: 1.1789 eV/atom
crystal system: trigonal
space-group type: R-3m (166)
total energy: -25.00 eV/cell

a = 9.436 Å, b = 9.436 Å, c = 9.436 Å
α = 19.62°, β = 19.62°, γ = 19.62°
Fractional positions:
1 Re 0.012 0.012 0.012
2 Re 0.488 0.488 0.488
3 Sr 0.250 0.250 0.250
4 Te 0.750 0.750 0.750



A geometry-optimized ZnHgF2 structure. Source: Alexandria, functional PBE.

Summary:
raw formation energy: -1.1504 eV/atom
crystal system: trigonal
offset from the most stable computed form: 506 meV/atom
space-group type: R-3m (166)
total energy: -9.92 eV/cell

a = 9.128 Å, b = 9.128 Å, c = 9.128 Å
α = 20.38°, β = 20.38°, γ = 20.38°
Fractional positions:
1 Zn 0.000 0.000 0.000
2 Hg 0.500 0.500 0.500
3 F 0.934 0.934 0.934
4 F 0.066 0.066 0.066



A geometry-optimized PmPrHoCd structure. Source: Alexandria, functional PBE.

Summary:
crystal system: cubic
energy relative to the elements: -0.046 eV/atom
offset from the most stable computed form: 102 meV/atom
space-group type: F-43m (216)
total energy: -15.21 eV/cell

a = 5.558 Å, b = 5.558 Å, c = 5.558 Å
α = 60.00°, β = 60.00°, γ = 60.00°
Fractional positions:
1 Pr 0.250 0.250 0.250
2 Cd 0.000 0.000 0.000
3 Ho 0.500 0.500 0.500
4 Pm 0.750 0.750 0.750



A geometry-optimized La3Sm12Zn structure. Source: Alexandria, functional PBE.

Summary:
crystal system: tetragonal
energy relative to the elements: 0.025 eV/atom
space-group type: P4/mmm (123)
total energy: -72.29 eV/cell

a = 5.086 Å, b = 5.086 Å, c = 20.452 Å
α = 90.00°, β = 90.00°, γ = 90.00°
Fractional positions:
1 La 0.000 0.000 0.244
2 La 0.000 0.000 0.500
3 La 0.000 0.000 0.756
4 Sm 0.500 0.500 0.000
5 Sm 0.500 0.500 0.240
6 Sm 0.500 0.500 0.500
7 Sm 0.500 0.500 0.760
8 Sm 0.500 0.000 0.115
9 Sm 0.500 0.000 0.372
10 Sm 0.500 0.000 0.628
11 Sm 0.500 0.000 0.885
12 Sm 0.000 0.500 0.115
13 Sm 0.000 0.500 0.372
14 Sm 0.000 0.500 0.628
15 Sm 0.000 0.500 0.885
16 Zn 0.000 0.000 0.000



A geometry-optimized Sc2Co5Ge4 structure. Source: Alexandria, functional PBE.

Summary:
crystal system: orthorhombic
energy relative to the elements: -0.399 eV/atom
space-group type: Fmmm (69)
total energy: -71.05 eV/cell

a = 5.197 Å, b = 5.138 Å, c = 7.548 Å
α = 79.98°, β = 69.87°, γ = 59.62°
Fractional positions:
1 Sc 0.883 0.000 0.234
2 Sc 0.117 0.000 0.766
3 Co 0.500 0.000 0.000
4 Co 0.000 0.500 0.000
5 Co 0.500 0.500 0.000
6 Co 0.250 0.500 0.500
7 Co 0.750 0.500 0.500
8 Ge 0.473 0.315 0.739
9 Ge 0.527 0.685 0.261
10 Ge 0.212 0.315 0.261
11 Ge 0.788 0.685 0.739



A geometry-optimized Dy3HoGa3 structure. Source: Alexandria, functional PBE.

Summary:
crystal system: hexagonal
energy relative to the elements: -0.417 eV/atom
space-group type: P6_3/m (176)
total energy: -60.77 eV/cell

a = 4.798 Å, b = 9.098 Å, c = 9.098 Å
α = 120.00°, β = 90.00°, γ = 90.00°
Fractional positions:
1 Dy 0.750 0.760 0.746
2 Dy 0.750 0.254 0.014
3 Dy 0.750 0.986 0.240
4 Dy 0.250 0.240 0.254
5 Dy 0.250 0.746 0.986
6 Dy 0.250 0.014 0.760
7 Ho 0.250 0.667 0.333
8 Ho 0.750 0.333 0.667
9 Ga 0.250 0.550 0.608
10 Ga 0.250 0.392 0.942
11 Ga 0.250 0.058 0.450
12 Ga 0.750 0.450 0.392
13 Ga 0.750 0.608 0.058
14 Ga 0.750 0.942 0.550



A geometry-optimized Ca6P2SN structure. Source: Alexandria, functional PBE.

Summary:
raw formation energy: -1.1698 eV/atom
crystal system: monoclinic
space-group type: P2_1/c (14)
total energy: -93.96 eV/cell

a = 6.653 Å, b = 7.393 Å, c = 9.682 Å
α = 90.00°, β = 89.75°, γ = 90.00°
Each line ends with the local moment (μB).
Fractional positions:
1 Ca 0.298 0.673 0.062  0.04
2 Ca 0.798 0.827 0.562  0.04
3 Ca 0.702 0.327 0.938  0.04
4 Ca 0.202 0.173 0.438  0.04
5 Ca 0.333 0.709 0.435  0.04
6 Ca 0.833 0.791 0.935  0.04
7 Ca 0.667 0.291 0.565  0.04
8 Ca 0.167 0.209 0.065  0.04
9 Ca 0.874 0.548 0.232  0.05
10 Ca 0.374 0.952 0.732  0.05
11 Ca 0.126 0.452 0.768  0.05
12 Ca 0.626 0.048 0.268  0.05
13 P 0.037 0.909 0.249  0.00
14 P 0.537 0.591 0.749  0.00
15 P 0.963 0.091 0.751  0.00
16 P 0.463 0.409 0.251  0.00
17 S 0.500 0.000 0.000  -0.01
18 S 0.000 0.500 0.500  -0.01
19 N 0.500 0.000 0.500  -0.02
20 N 0.000 0.500 0.000  -0.02



A geometry-optimized Ba3Na2Li4Hg2 structure. Source: Alexandria, functional PBE.

Summary:
crystal system: trigonal
energy relative to the elements: -0.106 eV/atom
space-group type: P-3m1 (164)
total energy: -17.83 eV/cell

a = 4.982 Å, b = 4.982 Å, c = 18.828 Å
α = 90.00°, β = 90.00°, γ = 120.00°
Fractional positions:
1 Ba 0.000 0.000 0.759
2 Ba 0.000 0.000 0.000
3 Ba 0.000 0.000 0.241
4 Na 0.667 0.333 0.441
5 Na 0.333 0.667 0.559
6 Li 0.667 0.333 0.120
7 Li 0.333 0.667 0.880
8 Li 0.667 0.333 0.631
9 Li 0.333 0.667 0.369
10 Hg 0.667 0.333 0.875
11 Hg 0.333 0.667 0.125